Entry 1:
This record from the Alexandria database describes YAl2In after structural relaxation. The functional is PBE-GGA.

formation enthalpy at 0 K: -0.030 eV/atom
size of the total moment: 0.00 μB/cell

Geometry as POSCAR:
```
YAl2In
1.0
5.0305 0.0000 0.0000
2.5153 4.3565 0.0000
2.5153 1.4522 4.1074
Y Al In
1 2 1
direct
0.7500 0.7500 0.7500
0.0000 0.0000 0.0000
0.2500 0.2500 0.2500
0.5000 0.5000 0.5000
```

Entry 2:
This record from the Alexandria database describes HfHIO2 after structural relaxation. The functional is PBE-GGA.

offset from the most stable computed form: 1.244 eV per atom
size of the total moment: 0.00 μB/cell

Geometry as POSCAR:
```
HfHIO2
1.0
-3.8432 0.0674 1.6943
-1.6775 -0.7636 -3.7747
0.2044 -3.4120 0.5994
I H Hf O
1 1 1 2
direct
0.0000 0.0000 0.5000
0.0000 0.0000 0.0000
0.5000 0.5000 0.5000
0.0000 0.5000 0.0000
0.5000 0.0000 0.0000
```

Entry 3:
This record from the Alexandria database describes HgAu2S after structural relaxation. The functional is PBE-GGA.

size of the total moment: 0.00 μB/cell
raw formation energy: -0.2 kJ/mol of atoms

Geometry as POSCAR:
```
HgAu2S
1.0
7.3346 0.0000 0.0000
0.0000 7.3346 0.0000
3.6673 3.6673 5.5446
S Au Hg
2 4 2
direct
0.5000 0.5000 0.0000
0.2500 0.7500 0.5000
0.3750 0.1250 0.2500
0.3750 0.6250 0.2500
0.3750 0.6250 0.7500
0.8750 0.6250 0.7500
0.0000 0.0000 0.0000
0.7500 0.2500 0.5000
```

Entry 4:
This record from the Alexandria database describes Tl3RuO4 after structural relaxation. The functional is PBE-GGA.

offset from the most stable computed form: 0.004 eV per atom
size of the total moment: 0.92 μB/cell
raw formation energy: -67.1 kJ/mol of atoms

Geometry as POSCAR:
```
Tl3RuO4
1.0
-1.7724 -0.9700 5.8737
6.0147 -0.2803 -1.5258
-0.4812 5.7497 -2.3004
Tl Ru O
3 1 4
direct
0.5282 0.2331 0.7613
0.0431 0.0000 0.0431
0.5282 0.7669 0.2951
0.0066 0.5000 0.5066
0.1404 0.6873 0.8277
0.1404 0.3127 0.4531
0.6119 0.2299 0.3821
0.1522 0.7701 0.3821
```